Record 1
Dy2ErSc5, optimized geometry, DFT PBE-GGA; size of the total moment = 0.008 μB per atom; E_tot = -45.24 eV/cell; offset from the most stable computed form = 0 meV per atom; mass density = 5.503 g/cm³; calculated volume = 216 Å³ per cell; energy of formation from the pure elements = 0.02 eV per atom
1.0
-0.883 4.982 4.610
-4.091 -0.356 -5.475
-0.881 -5.426 3.152
Dy Er Sc
2 1 5
Cartesian
-4.027 -1.846 -1.782
-2.364 0.878 3.213
-3.741 3.810 -0.272
-1.962 -1.659 0.898
-3.275 1.334 -2.530
-1.692 4.023 2.509
-4.449 0.654 0.465
-2.139 -3.935 3.300

***

Record 2
BaH2Cl, optimized geometry, DFT PBE-GGA; size of the total moment = 0.227 μB per atom; E_tot = -12.62 eV/cell; offset from the most stable computed form = 283 meV per atom; mass density = 4.110 g/cm³; calculated volume = 71 Å³ per cell
1.0
1.011 -2.506 3.771
-2.240 -3.982 0.808
2.231 -4.045 -0.432
H Ba Cl
2 1 1
Cartesian
0.250 -2.634 1.037
0.751 -7.901 3.110
0.501 -5.267 2.073
0.000 0.000 0.000

***

Record 3
YMg2H, optimized geometry, DFT PBE-GGA; size of the total moment = 0.000 μB per atom; E_tot = -10.21 eV/cell; offset from the most stable computed form = 652 meV per atom; mass density = 2.479 g/cm³; calculated volume = 93 Å³ per cell
1.0
-4.758 0.175 1.777
-3.114 3.749 -1.440
-3.906 -0.989 -3.096
Y H Mg
1 1 2
Cartesian
-5.889 1.467 -1.379
0.000 0.000 0.000
-2.944 0.734 -0.690
-8.833 2.201 -2.069

***

Record 4
Cs5AuI2O, optimized geometry, DFT PBE-GGA; ΔE_f (raw) = -1060 meV/atom; size of the total moment = 0.011 μB per atom; E_tot = -50.28 eV/cell; mass density = 4.362 g/cm³; calculated volume = 861 Å³ per cell
1.0
4.826 0.000 0.000
-2.413 12.152 0.000
0.000 0.000 14.688
Cs Au I O
10 2 4 2
Cartesian
0.000 8.578 0.121
2.413 5.526 12.930
0.000 12.150 11.137
0.000 6.626 9.344
2.413 9.394 7.461
2.413 3.574 7.465
0.000 6.626 5.586
2.413 0.002 3.793
2.413 5.526 2.000
0.000 2.758 0.117
2.413 0.209 0.122
0.000 11.943 7.465
2.413 9.081 11.512
0.000 3.068 10.762
0.000 3.071 4.168
2.413 9.084 3.418
2.413 6.495 7.465
0.000 5.657 0.121

***

Question: Which of these has the highest size of the total moment?
Answer: BaH2Cl

***

Question: Which formula does entry 1 have?
Answer: Dy2ErSc5